No. 1
! NaSrZrAu2 | Alexandria via LeMat-Bulk | GGA-PBEsol | optimized geometry; values from VASP
! Calculated volume ... 154.83 Å³ per cell
! E_form ... 2.14 eV per formula unit
&SYSTEM
  ibrav = 0, nat = 5, ntyp = 4
/
ATOMIC_SPECIES
Na 22.99 Na.upf
Sr 87.62 Sr.upf
Zr 91.22 Zr.upf
Au 196.97 Au.upf
CELL_PARAMETERS angstrom
5.193 0.000 0.000
0.000 5.193 0.000
0.000 0.000 5.741
ATOMIC_POSITIONS angstrom
Na 0.000 0.000 0.000
Sr 2.597 2.597 0.000
Zr 2.597 2.597 2.870
Au 0.000 2.597 2.870
Au 2.597 0.000 2.870

No. 2
! NaTaAu3 | Alexandria via LeMat-Bulk | GGA-PBEsol | optimized geometry; values from VASP
! Calculated volume ... 132.07 Å³ per cell
! E_form ... 2.94 eV per formula unit
&SYSTEM
  ibrav = 0, nat = 5, ntyp = 3
/
ATOMIC_SPECIES
Na 22.99 Na.upf
Ta 180.95 Ta.upf
Au 196.97 Au.upf
CELL_PARAMETERS angstrom
5.092 0.000 0.000
0.000 5.092 0.000
0.000 0.000 5.092
ATOMIC_POSITIONS angstrom
Na 0.000 0.000 0.000
Ta 2.546 2.546 2.546
Au 0.000 2.546 2.546
Au 2.546 0.000 2.546
Au 2.546 2.546 0.000

No. 3
! NaTa3Au | Alexandria via LeMat-Bulk | GGA-PBEsol | optimized geometry; values from VASP
! Calculated volume ... 122.81 Å³ per cell
! E_form ... 9.27 eV per formula unit
&SYSTEM
  ibrav = 0, nat = 5, ntyp = 3
/
ATOMIC_SPECIES
Na 22.99 Na.upf
Ta 180.95 Ta.upf
Au 196.97 Au.upf
CELL_PARAMETERS angstrom
4.971 0.000 0.000
0.000 4.971 0.000
0.000 0.000 4.971
ATOMIC_POSITIONS angstrom
Na 0.000 0.000 0.000
Ta 0.000 2.485 2.485
Ta 2.485 0.000 2.485
Ta 2.485 2.485 0.000
Au 2.485 2.485 2.485